Entry 1:
The following is a PBE-GGA calculation of a geometry-optimized BiBS2O structure, from Alexandria via LeMat-Bulk.

Cell: 5.2664 4.8953 5.2664 Å, 90.00 90.00 90.00°
Last column: nearest neighbours and their distance in Å.
Sites, in units of the cell vectors:
1 S 0.0000 0.0000 0.5000  2 Bi 2.63
2 S 0.5000 0.0000 0.0000  2 Bi 2.63
3 B 0.0000 0.5000 0.0000  2 Bi 2.45
4 Bi 0.0000 0.0000 0.0000  2 B 2.45, 4 S 2.63
5 O 0.5000 0.5000 0.5000  8 S 3.60, 4 B 3.72

ΔE_f (raw), eV/f.u.: 8.52
Size of the total moment, μB per formula unit: 2.6

=====

Entry 2:
The following is a PBE-GGA calculation of a geometry-optimized MgNi2Rh2 structure, from Alexandria via LeMat-Bulk.

Cell: 7.0944 7.0944 2.7808 Å, 90.00 90.00 90.00°
Last column: nearest neighbours and their distance in Å.
Sites, in units of the cell vectors:
1 Ni 0.3803 0.8803 0.0000  1 Ni 2.40, 6 Rh 2.47-2.56
2 Ni 0.8803 0.6197 0.0000  1 Ni 2.40, 6 Rh 2.47-2.56
3 Ni 0.6197 0.1197 0.0000  1 Ni 2.40, 6 Rh 2.47-2.56
4 Ni 0.1197 0.3803 0.0000  1 Ni 2.40, 6 Rh 2.47-2.56
5 Mg 0.0000 0.0000 0.0000  2 Mg 2.78, 4 Ni 2.83, 8 Rh 2.96
6 Mg 0.5000 0.5000 0.0000  2 Mg 2.78, 4 Ni 2.83, 8 Rh 2.96
7 Rh 0.1771 0.6771 0.5000  6 Ni 2.47-2.56
8 Rh 0.6771 0.8229 0.5000  6 Ni 2.47-2.56
9 Rh 0.8229 0.3229 0.5000  6 Ni 2.47-2.56
10 Rh 0.3229 0.1771 0.5000  6 Ni 2.47-2.56

Energy above the lowest structure with this stoichiometry, eV per formula unit: 0.00
Size of the total moment, μB per formula unit: 1.0
Formation energy, eV per atom: -0.036